PrZnGa2Pt5, optimized geometry, DFT PBE-GGA; DOS(E_F) = 4.20 states/eV/cell; crystal system = tetragonal; space group = P4/mmm (123); ΔH_f (0 K) = -0.55 eV/atom; total magnetization = 0.00 μB per atom
1.0
4.061 0.000 0.000
0.000 4.061 0.000
0.000 0.000 11.052
Pr Zn Ga Pt
1 1 2 5
direct
0.000 0.000 0.000
0.000 0.000 0.500
0.500 0.500 0.223
0.500 0.500 0.777
0.000 0.500 0.354
0.000 0.500 0.646
0.500 0.000 0.354
0.500 0.000 0.646
0.500 0.500 0.000



Zr2CrRu, optimized geometry, DFT PBE-GGA; DOS(E_F) = 4.19 states/eV/cell; crystal system = monoclinic; space group = C2/m (12); ΔH_f (0 K) = 0.08 eV/atom; total magnetization = 0.00 μB per atom
1.0
2.948 -4.235 0.000
2.948 4.235 0.000
-1.114 0.000 2.775
Zr Cr Ru
2 1 1
direct
0.000 0.500 0.000
0.500 0.000 0.000
0.000 0.000 0.500
0.500 0.500 0.500



Which of these has the highest ΔH_f (0 K)?
Zr2CrRu